Compound: TlGa4I5
Source: Alexandria via LeMat-Bulk
Functional: PBE
Structure: relaxed

abc: 4.734 6.742 12.624
angles: 105.49 100.81 90.00
Positions (direct):
Tl: 0.000 0.000 0.000
Ga: 0.398 0.398 0.797
Ga: 0.796 0.796 0.593
Ga: 0.204 0.204 0.407
Ga: 0.602 0.602 0.203
I: 0.609 0.109 0.217
I: 0.802 0.302 0.605
I: 0.198 0.698 0.395
I: 0.000 0.500 0.000
I: 0.391 0.891 0.783

Computed properties:
Size of the total moment (μB per atom): 0.0000
DFT total energy (Ha/atom): -0.0964
SG: Immm

=====

Compound: Tl2Ga2I5
Source: Alexandria via LeMat-Bulk
Functional: PBE
Structure: relaxed

abc: 5.749 10.072 7.291
angles: 100.65 90.00 106.58
Positions (direct):
Tl: 0.445 0.890 0.688
Tl: 0.555 0.110 0.312
Ga: 0.155 0.309 0.939
Ga: 0.845 0.691 0.061
I: 0.332 0.663 0.987
I: 0.668 0.337 0.013
I: 0.130 0.260 0.545
I: 0.870 0.740 0.455
I: 0.000 0.000 0.000

Computed properties:
Size of the total moment (μB per atom): 0.0000
DFT total energy (Ha/atom): -0.0918
SG: C2/m

=====

Compound: Tl2Ga2I7
Source: Alexandria via LeMat-Bulk
Functional: PBE
Structure: relaxed

abc: 7.100 9.099 17.226
angles: 90.00 90.00 99.44
Positions (direct):
Tl: 0.639 0.940 0.154
Tl: 0.361 0.560 0.654
Tl: 0.361 0.060 0.846
Tl: 0.639 0.440 0.346
Ga: 0.823 0.644 0.888
Ga: 0.177 0.356 0.112
Ga: 0.823 0.144 0.612
Ga: 0.177 0.856 0.388
I: 0.000 0.000 0.500
I: 0.000 0.500 0.000
I: 0.303 0.119 0.053
I: 0.697 0.381 0.553
I: 0.697 0.881 0.947
I: 0.303 0.619 0.447
I: 0.058 0.248 0.727
I: 0.058 0.748 0.773
I: 0.942 0.252 0.227
I: 0.942 0.752 0.273
I: 0.526 0.957 0.668
I: 0.526 0.457 0.832
I: 0.474 0.543 0.168
I: 0.474 0.043 0.332

Computed properties:
Offset from the most stable computed form (eV/atom): 0.0000
Size of the total moment (μB per atom): 0.0000
SG: P2_1/c

=====

Compound: Tl3GaI
Source: Alexandria via LeMat-Bulk
Functional: PBE
Structure: relaxed

abc: 5.652 5.652 5.652
angles: 90.00 90.00 90.00
Positions (direct):
I: 0.500 0.500 0.500
Tl: 0.000 0.500 0.000
Tl: 0.000 0.000 0.500
Tl: 0.500 0.000 0.000
Ga: 0.000 0.000 0.000

Computed properties:
Offset from the most stable computed form (eV/atom): 0.0000
Size of the total moment (μB per atom): 0.0000
SG: Pm-3m

=====

Compound: Tl2Ga2I7
Source: Alexandria via LeMat-Bulk
Functional: PBE
Structure: relaxed

abc: 7.256 8.940 8.940
angles: 100.02 97.10 97.10
Positions (direct):
Tl: 0.000 0.295 0.705
Tl: 0.000 0.705 0.295
Ga: 0.419 0.226 0.226
Ga: 0.581 0.774 0.774
I: 0.774 0.906 0.586
I: 0.226 0.414 0.094
I: 0.226 0.094 0.414
I: 0.774 0.586 0.906
I: 0.500 0.000 0.000
I: 0.263 0.613 0.613
I: 0.737 0.387 0.387

Computed properties:
Offset from the most stable computed form (eV/atom): 0.0027
Size of the total moment (μB per atom): 0.0000
SG: C2/m

=====

Compound: Tl2GaI3
Source: Alexandria via LeMat-Bulk
Functional: PBE
Structure: relaxed

abc: 4.864 6.963 8.555
angles: 114.01 106.51 90.00
Positions (direct):
Tl: 0.169 0.669 0.339
Tl: 0.831 0.331 0.661
Ga: 0.500 0.000 0.000
I: 0.500 0.500 0.000
I: 0.154 0.154 0.308
I: 0.846 0.846 0.692

Computed properties:
Offset from the most stable computed form (eV/atom): 0.0000
Size of the total moment (μB per atom): 0.0000
SG: Immm

=====

Compound: Tl3Ga2I5
Source: Alexandria via LeMat-Bulk
Functional: PBE
Structure: relaxed

abc: 4.871 8.442 10.951
angles: 96.90 77.10 73.28
Positions (direct):
Tl: 0.500 0.500 0.500
Tl: 0.911 0.883 0.295
Tl: 0.089 0.117 0.705
Ga: 0.307 0.291 0.095
Ga: 0.693 0.709 0.905
I: 0.000 0.000 0.000
I: 0.209 0.196 0.386
I: 0.791 0.804 0.614
I: 0.623 0.572 0.183
I: 0.377 0.428 0.817

Computed properties:
Size of the total moment (μB per atom): 0.0000
DFT total energy (Ha/atom): -0.0963
SG: P-1

=====

Compound: Tl2GaI4
Source: Alexandria via LeMat-Bulk
Functional: PBE
Structure: relaxed

abc: 4.409 9.065 9.110
angles: 123.03 104.00 90.00
Positions (direct):
Tl: 0.710 0.728 0.421
Tl: 0.290 0.272 0.579
Ga: 0.000 0.000 0.000
I: 0.898 0.168 0.796
I: 0.102 0.832 0.204
I: 0.627 0.261 0.255
I: 0.373 0.739 0.745

Computed properties:
Offset from the most stable computed form (eV/atom): 0.0058
Size of the total moment (μB per atom): 0.0000
SG: C2/m

=====

Compound: TlGa3I9
Source: Alexandria via LeMat-Bulk
Functional: PBE
Structure: relaxed

abc: 11.003 11.686 13.157
angles: 78.31 65.28 61.92
Each line ends with the local moment (μB).
Positions (direct):
Tl: 0.039 0.483 0.976  0.01
Tl: 0.502 0.983 0.476  0.01
Ga: 0.774 0.533 0.694  0.05
Ga: 0.999 0.033 0.194  0.05
Ga: 0.989 0.961 0.815  0.16
Ga: 0.235 0.461 0.315  0.16
Ga: 0.576 0.257 0.726  0.00
Ga: 0.441 0.757 0.226  0.00
I: 0.387 0.208 0.280  0.06
I: 0.125 0.708 0.780  0.06
I: 0.428 0.363 0.918  0.00
I: 0.292 0.863 0.418  0.00
I: 0.151 0.082 0.684  0.06
I: 0.082 0.582 0.184  0.06
I: 0.687 0.775 0.123  0.01
I: 0.415 0.275 0.623  0.01
I: 0.885 0.939 0.384  0.03
I: 0.792 0.439 0.884  0.03
I: 0.547 0.751 0.707  0.02
I: 0.994 0.251 0.207  0.02
I: 0.498 0.510 0.241  0.05
I: 0.751 0.010 0.741  0.05
I: 0.757 0.363 0.588  0.01
I: 0.292 0.863 0.088  0.01
I: 0.898 0.031 0.042  0.03
I: 0.029 0.531 0.542  0.03

Computed properties:
Size of the total moment (μB per atom): 0.0564
DFT total energy (Ha/atom): -0.0881
SG: Cc

=====

Compound: Tl3Ga2I4
Source: Alexandria via LeMat-Bulk
Functional: PBE
Structure: relaxed

abc: 6.942 10.085 10.085
angles: 83.81 87.35 87.35
Positions (direct):
Tl: 0.933 0.029 0.280
Tl: 0.567 0.720 0.971
Tl: 0.067 0.971 0.720
Tl: 0.433 0.280 0.029
Tl: 0.250 0.636 0.364
Tl: 0.750 0.364 0.636
Ga: 0.561 0.126 0.512
Ga: 0.939 0.488 0.874
Ga: 0.439 0.874 0.488
Ga: 0.061 0.512 0.126
I: 0.474 0.958 0.199
I: 0.026 0.801 0.042
I: 0.526 0.042 0.801
I: 0.974 0.199 0.958
I: 0.174 0.246 0.476
I: 0.326 0.524 0.754
I: 0.826 0.754 0.524
I: 0.674 0.476 0.246

Computed properties:
Size of the total moment (μB per atom): 0.0000
DFT total energy (Ha/atom): -0.0932
SG: C2/c

=====

Compound: TlGaI2
Source: Alexandria via LeMat-Bulk
Functional: PBE
Structure: relaxed

abc: 5.898 5.898 5.898
angles: 60.00 60.00 60.00
Positions (direct):
I: 0.250 0.250 0.250
I: 0.750 0.750 0.750
Tl: 0.500 0.500 0.500
Ga: 0.000 0.000 0.000

Computed properties:
Offset from the most stable computed form (eV/atom): 0.0829
Size of the total moment (μB per atom): 0.0000
SG: Fm-3m

=====

Compound: Tl2GaI3
Source: Alexandria via LeMat-Bulk
Functional: PBE
Structure: relaxed

abc: 6.964 10.167 10.167
angles: 119.72 90.00 90.00
Positions (direct):
Tl: 0.493 0.833 0.502
Tl: 0.993 0.498 0.167
Tl: 0.493 0.502 0.833
Tl: 0.993 0.167 0.498
Ga: 0.008 0.838 0.838
Ga: 0.508 0.162 0.162
I: 0.993 0.833 0.515
I: 0.493 0.485 0.167
I: 0.993 0.515 0.833
I: 0.493 0.167 0.485
I: 0.477 0.848 0.848
I: 0.977 0.152 0.152

Computed properties:
Offset from the most stable computed form (eV/atom): 0.0367
Size of the total moment (μB per atom): 0.0000
SG: Cmc2_1

=====

> What is the formula in the seventh record?

Tl3Ga2I5